The following is a DFT calculation (PBE) of crystalline LaNdPtAu at its relaxed geometry.

The value obtained for the energy relative to the lowest polymorph listed for this composition is 0.31 eV/f.u. The symmetry is F-43m (216). The value obtained for the magnetization is 0.0 μB/cell. As for the formation energy: -0.906 eV per atom.

Unit cell a=5.224 b=5.224 c=5.224 alpha=60.00 beta=60.00 gamma=60.00
Element x y z (fractional)
La  0.000  0.000  0.000
Nd  0.500  0.500  0.500
Pt  0.750  0.750  0.750
Au  0.250  0.250  0.250